Material: Li7AgHg3
Method: DFT, PBE-GGA
State: optimized geometry

Cell lengths 3.208, 22.394, 11.309 Å; angles 90.00, 90.00, 90.00 degrees
Space group Cmcm (No. 63)
Unique sites:
Li: 0.000 0.013 0.123 x8
Li: 0.000 0.119 0.750 x4
Li: 0.000 0.156 0.108 x8
Li: 0.000 0.292 0.089 x8
Ag: 0.000 0.411 0.750 x4
Hg: 0.000 0.267 0.750 x4
Hg: 0.000 0.416 0.044 x8

Crystal system   orthorhombic

***

Material: LiAg2Hg2
Method: DFT, PBE-GGA
State: optimized geometry

Cell lengths 4.994, 4.983, 8.013 Å; angles 90.00, 107.42, 90.00 degrees
Space group C2/m (No. 12)
Unique sites:
Li: 0.000 0.000 0.000 x2
Ag: 0.201 0.000 0.402 x4
Hg: 0.097 0.500 0.195 x4

Excess energy over the best structure of this formula in the dataset   0 meV per atom
Crystal system   monoclinic

***

Material: Li3AgHg3
Method: DFT, PBE-GGA
State: optimized geometry

Cell lengths 9.422, 9.437, 6.089 Å; angles 90.00, 90.00, 90.00 degrees
Space group Cmmm (No. 65)
Unique sites:
Li: 0.000 0.000 0.240 x4
Li: 0.250 0.250 0.246 x8
Ag: 0.000 0.268 0.000 x4
Hg: 0.000 0.264 0.500 x4
Hg: 0.222 0.500 0.000 x4
Hg: 0.232 0.500 0.500 x4

Excess energy over the best structure of this formula in the dataset   0 meV per atom
Crystal system   orthorhombic

***

Material: Li2Ag5Hg4
Method: DFT, PBE-GGA
State: optimized geometry

Cell lengths 3.053, 8.007, 9.810 Å; angles 96.66, 98.78, 100.90 degrees
Space group P-1 (No. 2)
Unique sites:
Li: 0.042 0.404 0.177 x2
Ag: 0.000 0.000 0.500 x1
Ag: 0.248 0.351 0.644 x2
Ag: 0.354 0.110 0.101 x2
Hg: 0.178 0.735 0.117 x2
Hg: 0.420 0.728 0.618 x2

Crystal system   triclinic

***

Material: Li3Ag2Hg2
Method: DFT, PBE-GGA
State: optimized geometry

Cell lengths 4.269, 4.979, 6.683 Å; angles 79.28, 89.72, 64.68 degrees
Space group P-1 (No. 2)
Unique sites:
Li: 0.000 0.000 0.000 x1
Li: 0.289 0.421 0.831 x2
Ag: 0.138 0.723 0.422 x2
Hg: 0.417 0.170 0.252 x2

Excess energy over the best structure of this formula in the dataset   0 meV per atom
Crystal system   triclinic

***

Material: LiAg2Hg2
Method: DFT, PBE-GGA
State: optimized geometry

Cell lengths 7.477, 7.477, 3.735 Å; angles 90.00, 90.00, 90.00 degrees
Space group P4/mbm (No. 127)
Unique sites:
Li: 0.000 0.000 0.000 x2
Ag: 0.135 0.365 0.000 x4
Hg: 0.169 0.669 0.500 x4

Excess energy over the best structure of this formula in the dataset   100 meV per atom
Crystal system   tetragonal

***

Number 1: ΔE_f -251 meV/atom. Number 2: ΔE_f -121 meV/atom. Number 3: ΔE_f -242 meV/atom. Number 4: ΔE_f -12 meV/atom. Number 5: ΔE_f -233 meV/atom. Number 6: ΔE_f -20 meV/atom.